Material: CoAgRh2
Method: DFT, GGA-PBE
State: optimized geometry Values from VASP.

## Properties
D(E_F) = 2.038 states/eV per atom

Cell and atoms, written as Quantum ESPRESSO input:
```
&SYSTEM
  ibrav = 0, nat = 8, ntyp = 3
/
ATOMIC_SPECIES
Co 58.93 Co.upf
Ag 107.87 Ag.upf
Rh 102.91 Rh.upf
ATOMIC_POSITIONS crystal
Co 0.0000 0.0000 0.0000
Co 0.5000 0.5000 0.5000
Ag 0.0000 0.5000 0.2500
Ag 0.5000 0.0000 0.7500
Rh 0.0000 0.0000 0.5000
Rh 0.0000 0.5000 0.7500
Rh 0.5000 0.0000 0.2500
Rh 0.5000 0.5000 0.0000
CELL_PARAMETERS angstrom
3.8496 0.0000 0.0000
0.0000 3.8496 0.0000
0.0000 0.0000 7.7975
```

=====

Material: CoAgRh2
Method: DFT, GGA-PBE
State: optimized geometry Values from VASP.

## Properties
D(E_F) = 1.582 states/eV per atom

Cell and atoms, written as Quantum ESPRESSO input:
```
&SYSTEM
  ibrav = 0, nat = 16, ntyp = 3
/
ATOMIC_SPECIES
Co 58.93 Co.upf
Ag 107.87 Ag.upf
Rh 102.91 Rh.upf
ATOMIC_POSITIONS crystal
Co 0.0000 0.0000 0.0000
Co 0.0000 0.5000 0.5000
Co 0.5000 0.0000 0.5000
Co 0.5000 0.5000 0.0000
Ag 0.2500 0.2500 0.2500
Ag 0.2500 0.7500 0.7500
Ag 0.7500 0.2500 0.7500
Ag 0.7500 0.7500 0.2500
Rh 0.0000 0.0000 0.5000
Rh 0.0000 0.5000 0.0000
Rh 0.2500 0.2500 0.7500
Rh 0.2500 0.7500 0.2500
Rh 0.5000 0.0000 0.0000
Rh 0.5000 0.5000 0.5000
Rh 0.7500 0.2500 0.2500
Rh 0.7500 0.7500 0.7500
CELL_PARAMETERS angstrom
6.1792 0.0000 0.0000
0.0000 6.1792 0.0000
0.0000 0.0000 6.1792
```

=====

Material: CoAgRh2
Method: DFT, GGA-PBE
State: optimized geometry Values from VASP.

## Properties
D(E_F) = 1.434 states/eV per atom

Cell and atoms, written as Quantum ESPRESSO input:
```
&SYSTEM
  ibrav = 0, nat = 4, ntyp = 3
/
ATOMIC_SPECIES
Co 58.93 Co.upf
Ag 107.87 Ag.upf
Rh 102.91 Rh.upf
ATOMIC_POSITIONS crystal
Co 0.0000 0.0000 0.0000
Ag 0.5000 0.0000 0.5000
Rh 0.0000 0.5000 0.5000
Rh 0.5000 0.5000 0.0000
CELL_PARAMETERS angstrom
2.7731 0.0000 0.0000
0.0000 4.5877 0.0000
0.0000 0.0000 4.6122
```

=====

Material: CoAg2Rh
Method: DFT, GGA-PBE
State: optimized geometry Values from VASP.

## Properties
D(E_F) = 1.106 states/eV per atom

Cell and atoms, written as Quantum ESPRESSO input:
```
&SYSTEM
  ibrav = 0, nat = 16, ntyp = 3
/
ATOMIC_SPECIES
Co 58.93 Co.upf
Ag 107.87 Ag.upf
Rh 102.91 Rh.upf
ATOMIC_POSITIONS crystal
Co 0.0000 0.0000 0.0000
Co 0.0000 0.5000 0.5000
Co 0.5000 0.0000 0.5000
Co 0.5000 0.5000 0.0000
Ag 0.0000 0.0000 0.5000
Ag 0.0000 0.5000 0.0000
Ag 0.2500 0.2500 0.2500
Ag 0.2500 0.7500 0.7500
Ag 0.5000 0.0000 0.0000
Ag 0.5000 0.5000 0.5000
Ag 0.7500 0.2500 0.7500
Ag 0.7500 0.7500 0.2500
Rh 0.2500 0.2500 0.7500
Rh 0.2500 0.7500 0.2500
Rh 0.7500 0.2500 0.2500
Rh 0.7500 0.7500 0.7500
CELL_PARAMETERS angstrom
6.2743 0.0000 0.0000
0.0000 6.2743 0.0000
0.0000 0.0000 6.2743
```

=====

Number 1: energy -5.85 eV/atom. Number 2: energy -5.75 eV/atom. Number 3: energy -5.78 eV/atom. Number 4: energy -4.65 eV/atom.